No. 1
PmNdMg: optimized geometry, PBE-GGA.

Cell: 3.769 3.769 13.222 Å, 90.00 90.00 90.00°
Space group I4mm (No. 107)
Unique sites:
Pm 0.000 0.000 0.000 x2
Nd 0.000 0.000 0.686 x2
Mg 0.000 0.000 0.344 x2

## Properties
Offset from the most stable computed form: 2 meV per atom
Calculated total energy: -22.6 eV for the cell shown
Energy of formation from the pure elements: -1.25 kcal/mol of atoms
N(E_F): 4.234 states/eV/f.u.

---

No. 2
Pm2Nd6Mg: optimized geometry, PBE-GGA.

Cell: 6.211 9.556 20.467 Å, 90.00 90.00 90.00°
Space group Ibam (No. 72)
Unique sites:
Pm 0.048 0.170 0.000 x8
Nd 0.000 0.500 0.082 x8
Nd 0.101 0.175 0.327 x16
Mg 0.000 0.500 0.250 x4

## Properties
Offset from the most stable computed form: 45 meV per atom
Calculated total energy: -156.7 eV for the cell shown
Energy of formation from the pure elements: 1.37 kcal/mol of atoms
N(E_F): 11.737 states/eV/f.u.

---

No. 3
PmNdMg: optimized geometry, PBE-GGA.

Cell: 5.296 13.391 5.295 Å, 90.00 90.00 90.00°
Space group Cmcm (No. 63)
Unique sites:
Pm 0.000 0.092 0.250 x4
Nd 0.000 0.408 0.250 x4
Mg 0.000 0.250 0.750 x4

## Properties
Offset from the most stable computed form: 0 meV per atom
Calculated total energy: -45.1 eV for the cell shown
Energy of formation from the pure elements: -1.30 kcal/mol of atoms
N(E_F): 3.779 states/eV/f.u.

---

No. 4
Pm2Nd3Mg8: optimized geometry, PBE-GGA.

Cell: 5.9056 5.9056 37.9332 Å, 90.00 90.00 120.00°
Space group R-3m (No. 166, hexagonal axes)
Unique sites:
Pm 0.0000 0.0000 0.1395 x6
Nd 0.0000 0.0000 0.3161 x6
Nd 0.0000 0.0000 0.5000 x3
Mg 0.0000 0.0000 0.2251 x6
Mg 0.0014 0.5007 0.2690 x18

## Properties
Calculated total energy: -106.1 eV for the cell shown
Energy of formation from the pure elements: 2.14 kcal/mol of atoms
N(E_F): 15.031 states/eV/f.u.